DFT (PBE) results for a geometry-optimized Tm8ZnGa3Se4 structure.

a b c (Å): 7.7719 7.7719 21.8021
angles (deg): 90.00 90.00 120.00
Space group R-3m (No. 166, hexagonal axes)
Unique sites:
Tm 0.0000 0.0000 0.2492 (multiplicity 6)
Tm 0.9998 0.4999 0.2486 (multiplicity 18)
Zn 0.0000 0.0000 0.0000 (multiplicity 3)
Ga 0.0000 0.5000 0.0000 (multiplicity 9)
Se 0.0000 0.0000 0.5000 (multiplicity 3)
Se 0.0000 0.5000 0.5000 (multiplicity 9)

Properties
Formation energy (no corrections) = -1.090 eV/atom
Total energy = -232.5 eV/cell

DFT (PBE) results for a geometry-optimized MnBiN3 structure.

a b c (Å): 4.269 4.269 4.269
angles (deg): 90.00 90.00 90.00
Space group Pm-3m (No. 221)
Unique sites:
Mn 0.000 0.000 0.000 (multiplicity 1)
Bi 0.500 0.500 0.500 (multiplicity 1)
N 0.000 0.500 0.500 (multiplicity 3)

Properties
Formation energy (no corrections) = 2.039 eV/atom
Total energy = -27.8 eV/cell

Q: What is the formation energy (no corrections) in the second record?
A: 2.039 eV/atom

Q: Among the records above, which one has the lowest formation energy (no corrections)?
A: Tm8ZnGa3Se4

Q: Among the records above, which one has the lowest total energy?
A: Tm8ZnGa3Se4

Q: What is the formation energy (no corrections) in the first record?
A: -1.090 eV/atom